(1)
## CeErPaO6 (GGA-PBE)

Data for a geometry-optimized CeErPaO6 structure.

Values from the calculation:
Final energy   -8.965 eV/atom
Symmetry   P-31c, No. 163
ρ   7.7 Mg/m³
Calculated volume   15.11 A^3/atom
Formation energy (no corrections)   -3.438 eV/atom

Unit cell a=5.7735 b=5.7735 c=9.4236 alpha=90.00 beta=90.00 gamma=120.00
Closest atoms and distances in Å follow each position.
Atoms (fractional coordinates):
Er1 0.6667 0.3333 0.7500  6 O 2.26
Er2 0.3333 0.6667 0.2500  6 O 2.26
O1 0.3225 0.3212 0.8715  1 Pa 2.22, 1 Er 2.26, 1 Ce 2.27
O2 0.6775 0.9988 0.3715  1 Pa 2.22, 1 Er 2.26, 1 Ce 2.27
O3 0.3212 0.3225 0.3715  1 Pa 2.22, 1 Er 2.26, 1 Ce 2.27
O4 0.0012 0.6788 0.3715  1 Pa 2.22, 1 Er 2.26, 1 Ce 2.27
O5 0.3212 0.9988 0.1285  1 Pa 2.22, 1 Er 2.26, 1 Ce 2.27
O6 0.9988 0.6775 0.8715  1 Pa 2.22, 1 Er 2.26, 1 Ce 2.27
O7 0.6788 0.6775 0.6285  1 Pa 2.22, 1 Er 2.26, 1 Ce 2.27
O8 0.6788 0.0012 0.8715  1 Pa 2.22, 1 Er 2.26, 1 Ce 2.27
O9 0.0012 0.3225 0.1285  1 Pa 2.22, 1 Er 2.26, 1 Ce 2.27
O10 0.9988 0.3212 0.6285  1 Pa 2.22, 1 Er 2.26, 1 Ce 2.27
O11 0.6775 0.6788 0.1285  1 Pa 2.22, 1 Er 2.26, 1 Ce 2.27
O12 0.3225 0.0012 0.6285  1 Pa 2.22, 1 Er 2.26, 1 Ce 2.27
Pa1 0.0000 0.0000 0.0000  6 O 2.22
Pa2 0.0000 0.0000 0.5000  6 O 2.22
Ce1 0.6667 0.3333 0.2500  6 O 2.27
Ce2 0.3333 0.6667 0.7500  6 O 2.27



(2)
## Zn2HgPb (GGA-PBE)

Data for a geometry-optimized Zn2HgPb structure.

Values from the calculation:
Final energy   -1.483 eV/atom
Symmetry   R-3m, No. 166
ρ   9.6 Mg/m³
Energy relative to the elements   0.16 eV/atom
Calculated volume   23.41 A^3/atom

Unit cell a=8.1138 b=8.1138 c=8.1138 alpha=26.48 beta=26.48 gamma=26.48
Closest atoms and distances in Å follow each position.
Atoms (fractional coordinates):
Hg1 0.2500 0.2500 0.2500  6 Zn 2.82
Zn1 0.9945 0.9945 0.9945  3 Hg 2.82, 3 Pb 2.99
Zn2 0.5055 0.5055 0.5055  3 Hg 2.82, 3 Pb 2.99
Pb1 0.7500 0.7500 0.7500  6 Zn 2.99



(3)
## SeI3Cl (GGA-PBE)

Data for a geometry-optimized SeI3Cl structure.

Values from the calculation:
Final energy   -1.686 eV/atom
Symmetry   Pm-3m, No. 221
ρ   4.5 Mg/m³
Calculated volume   36.88 A^3/atom
Formation energy (no corrections)   0.310 eV/atom

Unit cell a=5.6916 b=5.6916 c=5.6916 alpha=90.00 beta=90.00 gamma=90.00
Closest atoms and distances in Å follow each position.
Atoms (fractional coordinates):
I1 0.0000 0.0000 0.5000  2 Se 2.85
I2 0.0000 0.5000 0.0000  2 Se 2.85
I3 0.5000 0.0000 0.0000  2 Se 2.85
Cl1 0.5000 0.5000 0.5000  12 I 4.02
Se1 0.0000 0.0000 0.0000  6 I 2.85



> Among the records above, which one has the highest calculated volume?

SeI3Cl



> Look up the ρ of the third one.

4.5 Mg/m³